# 1
This record from Alexandria describes a relaxed SrBiPtO6 crystal. The functional is PBE.

Calculated values
**ΔE_f (raw)**: -10.92 eV per formula unit

The structure in CIF format:
```
data_SrBiPtO6
_symmetry_space_group_name_H-M 'P 3 1 2'
_symmetry_Int_Tables_number 149
_cell_length_a 5.5164
_cell_length_b 5.5164
_cell_length_c 5.3579
_cell_angle_alpha 90.00
_cell_angle_beta 90.00
_cell_angle_gamma 120.00
loop_
_symmetry_equiv_pos_as_xyz
'x,y,z'
'-y,x-y,z'
'-x+y,-x,z'
'-y,-x,-z'
'-x+y,y,-z'
'x,x-y,-z'
loop_
_atom_site_label
_atom_site_type_symbol
_atom_site_fract_x
_atom_site_fract_y
_atom_site_fract_z
Sr1 Sr 0.0000 0.0000 0.0000
Bi1 Bi 0.3333 0.6667 0.5000
Pt1 Pt 0.6667 0.3333 0.5000
O1 O 0.3773 0.0250 0.7093
```

# 2
This record from Alexandria describes a relaxed YNi2Bi crystal. The functional is PBE.

Calculated values
**Energy relative to the elements**: 0.27 eV per formula unit

The structure in CIF format:
```
data_YNi2Bi
_symmetry_space_group_name_H-M 'I -4 2 d'
_symmetry_Int_Tables_number 122
_symmetry_space_group_name_Hall 'I -4 2bw'
_cell_length_a 4.551
_cell_length_b 4.551
_cell_length_c 17.432
_cell_angle_alpha 90.00
_cell_angle_beta 90.00
_cell_angle_gamma 90.00
loop_
_atom_site_label
_atom_site_type_symbol
_atom_site_fract_x
_atom_site_fract_y
_atom_site_fract_z
Y1 Y 0.000 0.000 0.000
Ni1 Ni 0.113 0.250 0.625
Bi1 Bi 0.000 0.000 0.500
```

# 3
This record from Alexandria describes a relaxed Ac8Nd6Dy crystal. The functional is PBE.

Calculated values
**Energy relative to the elements**: 3.44 eV per formula unit

The structure in CIF format:
```
data_Ac8Nd6Dy
_symmetry_space_group_name_H-M 'R -3'
_symmetry_Int_Tables_number 148
_symmetry_space_group_name_Hall '-R 3'
_cell_length_a 10.1608
_cell_length_b 10.1608
_cell_length_c 21.5199
_cell_angle_alpha 90.00
_cell_angle_beta 90.00
_cell_angle_gamma 120.00
loop_
_atom_site_label
_atom_site_type_symbol
_atom_site_fract_x
_atom_site_fract_y
_atom_site_fract_z
Ac1 Ac 0.0000 0.0000 0.2326
Ac2 Ac 0.0131 0.7137 0.6237
Nd1 Nd 0.9996 0.3087 0.8708
Dy1 Dy 0.0000 0.0000 0.5000
```